(1)
The following is a DFT calculation (PBE-GGA) of Ce2Nd3HoTe6 after structural relaxation.

Calculated values
Density of states at the Fermi level ... 1.4776 states/eV/atom
ΔE_f (raw) ... -1.38 eV per atom
Magnetic moment ... 2.4 μB/f.u.

```
data_Ce2Nd3HoTe6
_symmetry_space_group_name_H-M 'C 1 2/m 1'
_symmetry_Int_Tables_number 12
_cell_length_a 19.5161
_cell_length_b 4.4376
_cell_length_c 9.0096
_cell_angle_alpha 90.00
_cell_angle_beta 103.83
_cell_angle_gamma 90.00
loop_
_symmetry_equiv_pos_as_xyz
'x,y,z'
'-x,-y,-z'
'-x,y,-z'
'x,-y,z'
'x+1/2,y+1/2,z'
'-x+1/2,-y+1/2,-z'
'-x+1/2,y+1/2,-z'
'x+1/2,-y+1/2,z'
loop_
_atom_site_label
_atom_site_type_symbol
_atom_site_fract_x
_atom_site_fract_y
_atom_site_fract_z
Ce1 Ce 0.1675 0.0000 0.3362
Nd1 Nd 0.0000 0.5000 0.5000
Nd2 Nd 0.1688 0.0000 0.8344
Ho1 Ho 0.0000 0.5000 0.0000
Te1 Te 0.0005 0.0000 0.7597
Te2 Te 0.1623 0.5000 0.0825
Te3 Te 0.1663 0.5000 0.5839
```

---

(2)
The following is a DFT calculation (PBE-GGA) of Cs2ScCu3F12 after structural relaxation.

Calculated values
Density of states at the Fermi level ... 0.4166 states/eV/atom
ΔE_f (raw) ... -2.39 eV per atom
Magnetic moment ... 3.7 μB/f.u.

```
data_Cs2ScCu3F12
_symmetry_space_group_name_H-M 'R -3 m'
_symmetry_Int_Tables_number 166
_symmetry_space_group_name_Hall '-R 3 2"'
_cell_length_a 7.3940
_cell_length_b 7.3940
_cell_length_c 18.4920
_cell_angle_alpha 90.00
_cell_angle_beta 90.00
_cell_angle_gamma 120.00
loop_
_atom_site_label
_atom_site_type_symbol
_atom_site_fract_x
_atom_site_fract_y
_atom_site_fract_z
Cs1 Cs 0.0000 0.0000 0.1172
Sc1 Sc 0.0000 0.0000 0.5000
Cu1 Cu 0.0000 0.5000 0.0000
F1 F 0.0664 0.5332 0.1069
F2 F 0.0745 0.5372 0.3512
```